Record 1
First-principles (PBE) data for La6PdPt2I3 after structural relaxation, as listed in Alexandria.

SG	No. 12

Structure (extended XYZ):
```
12
Lattice="3.753 -6.501 0.000 3.753 6.501 0.000 -2.503 0.000 8.231" Properties=species:S:1:pos:R:3 pbc="T T T"
La -0.016 2.194 6.674
La 1.220 0.000 1.557
La -0.016 -2.194 6.674
La 5.020 2.194 1.557
La 3.784 0.000 6.674
La 5.020 -2.194 1.557
Pd 3.753 0.000 0.000
Pt 3.753 4.334 0.000
Pt 3.753 -4.334 0.000
I -1.251 0.000 4.116
I 2.502 2.162 4.116
I 2.502 -2.162 4.116
```



Record 2
First-principles (PBE) data for Rb2LaPdI6 after structural relaxation, as listed in Alexandria.

SG	No. 139

Structure (extended XYZ):
```
10
Lattice="-4.311 4.311 6.014 4.311 -4.311 6.014 4.311 4.311 -6.014" Properties=species:S:1:pos:R:3 pbc="T T T"
Rb 4.311 0.000 3.007
Rb 0.000 4.311 3.007
La 0.000 0.000 0.000
Pd 0.000 0.000 6.014
I 2.225 2.225 0.000
I 2.086 -2.086 6.014
I 0.000 0.000 3.146
I 0.000 0.000 8.881
I -2.086 2.086 6.014
I 2.086 2.086 6.014
```



Record 3
First-principles (PBE) data for La6PdRh2I3 after structural relaxation, as listed in Alexandria.

SG	No. 12

Structure (extended XYZ):
```
12
Lattice="3.695 -6.401 0.000 3.695 6.401 0.000 -2.464 0.000 8.276" Properties=species:S:1:pos:R:3 pbc="T T T"
La -0.034 2.192 6.721
La 1.165 0.000 1.552
La -0.034 -2.192 6.721
La 4.961 2.192 1.554
La 3.762 0.000 6.724
La 4.961 -2.192 1.554
Pd 3.695 0.000 0.000
Rh 3.695 4.267 0.000
Rh 3.695 -4.267 0.000
I -1.232 0.000 4.138
I 2.463 2.127 4.138
I 2.463 -2.127 4.138
```



Record 4
First-principles (PBE) data for La8Pd3RhI4 after structural relaxation, as listed in Alexandria.

SG	No. 166

Structure (extended XYZ):
```
16
Lattice="4.309 2.488 8.258 -4.309 2.488 8.258 0.000 -4.976 8.258" Properties=species:S:1:pos:R:3 pbc="T T T"
La 0.000 0.000 5.694
La -2.102 -1.214 13.952
La 0.000 -2.427 10.822
La -2.102 1.214 10.822
La 2.102 -1.214 13.952
La 0.000 2.427 13.952
La 2.102 1.214 10.822
La 0.000 0.000 19.079
Pd -4.309 0.000 12.387
Pd -2.155 1.244 4.129
Pd 2.155 1.244 4.129
Rh 0.000 0.000 12.387
I 0.000 0.000 0.000
I -2.155 -1.244 8.258
I -2.155 1.244 16.515
I 0.000 2.488 8.258
```



Record 5
First-principles (PBE) data for LaPdRhI2 after structural relaxation, as listed in Alexandria.

SG	No. 123

Structure (extended XYZ):
```
5
Lattice="5.419 0.000 0.000 0.000 5.419 0.000 0.000 0.000 5.148" Properties=species:S:1:pos:R:3 pbc="T T T"
La 0.000 0.000 0.000
Pd 2.709 2.709 0.000
Rh 0.000 0.000 2.574
I 0.000 2.709 2.574
I 2.709 0.000 2.574
```



Record 6
First-principles (PBE) data for La6PdRu2I3 after structural relaxation, as listed in Alexandria.

SG	No. 12

Structure (extended XYZ):
```
12
Lattice="3.673 -6.361 0.000 3.673 6.361 0.000 -2.445 0.000 8.301" Properties=species:S:1:pos:R:3 pbc="T T T"
La -0.052 2.217 6.749
La 1.114 0.000 1.546
La -0.052 -2.217 6.749
La 4.954 2.217 1.552
La 3.788 0.000 6.755
La 4.954 -2.217 1.552
Pd 3.673 0.000 0.000
Ru 3.673 4.241 0.000
Ru 3.673 -4.241 0.000
I -1.223 0.000 4.151
I 2.451 2.112 4.151
I 2.451 -2.112 4.151
```



Calculated size of the total moment (μB per formula unit), listed in the same order as above: 0.00, 1.00, 0.00, 0.00, 0.00, 0.00
Calculated raw formation energy (kJ per mole of atoms), listed in the same order as above: -109.4, -108.0, -99.2, -94.6, -13.1, -85.8